Ac3Zn5Se12 | PBE-GGA | optimized geometry

Values from the calculation:
- Uncorrected formation energy: -874 meV/atom
- VASP energy: -3.899 eV per atom
- V: 27.29 Å³ per atom
- Symmetry: Ia-3d (230)
- DOS(E_F): 20.40 states/eV/f.u.
- M_tot: 0.00 μB per cell

Lattice parameters (Å, degrees): 14.1546 14.1546 14.1546 109.47 109.47 109.47
Fractional coordinates of all 80 atoms:
1 Ac 0.1250 0.2500 0.3750
2 Ac 0.1250 0.3750 0.7500
3 Ac 0.2500 0.3750 0.1250
4 Ac 0.2500 0.8750 0.6250
5 Ac 0.3750 0.1250 0.2500
6 Ac 0.3750 0.7500 0.1250
7 Ac 0.6250 0.2500 0.8750
8 Ac 0.6250 0.8750 0.7500
9 Ac 0.7500 0.1250 0.3750
10 Ac 0.7500 0.6250 0.8750
11 Ac 0.8750 0.6250 0.2500
12 Ac 0.8750 0.7500 0.6250
13 Zn 0.0000 0.0000 0.0000
14 Zn 0.0000 0.0000 0.5000
15 Zn 0.0000 0.5000 0.0000
16 Zn 0.0000 0.5000 0.5000
17 Zn 0.1250 0.7500 0.8750
18 Zn 0.1250 0.8750 0.2500
19 Zn 0.2500 0.1250 0.8750
20 Zn 0.2500 0.6250 0.3750
21 Zn 0.3750 0.2500 0.6250
22 Zn 0.3750 0.6250 0.7500
23 Zn 0.5000 0.0000 0.0000
24 Zn 0.5000 0.0000 0.5000
25 Zn 0.5000 0.5000 0.0000
26 Zn 0.5000 0.5000 0.5000
27 Zn 0.6250 0.3750 0.2500
28 Zn 0.6250 0.7500 0.3750
29 Zn 0.7500 0.3750 0.6250
30 Zn 0.7500 0.8750 0.1250
31 Zn 0.8750 0.1250 0.7500
32 Zn 0.8750 0.2500 0.1250
33 Se 0.0279 0.2062 0.1178
34 Se 0.0279 0.3216 0.9100
35 Se 0.0884 0.7062 0.6784
36 Se 0.0884 0.8822 0.4100
37 Se 0.0900 0.6178 0.4116
38 Se 0.0900 0.9721 0.6784
39 Se 0.1178 0.0279 0.2062
40 Se 0.1178 0.5900 0.9116
41 Se 0.1784 0.2062 0.5884
42 Se 0.1784 0.4721 0.5900
43 Se 0.2062 0.1178 0.0279
44 Se 0.2062 0.5884 0.1784
45 Se 0.2938 0.3216 0.9116
46 Se 0.2938 0.4721 0.3822
47 Se 0.3216 0.9100 0.0279
48 Se 0.3216 0.9116 0.2938
49 Se 0.3822 0.2938 0.4721
50 Se 0.3822 0.5884 0.9100
51 Se 0.4100 0.0884 0.8822
52 Se 0.4100 0.8216 0.5279
53 Se 0.4116 0.0900 0.6178
54 Se 0.4116 0.8216 0.7938
55 Se 0.4721 0.3822 0.2938
56 Se 0.4721 0.5900 0.1784
57 Se 0.5279 0.4100 0.8216
58 Se 0.5279 0.6178 0.7062
59 Se 0.5884 0.1784 0.2062
60 Se 0.5884 0.9100 0.3822
61 Se 0.5900 0.1784 0.4721
62 Se 0.5900 0.9116 0.1178
63 Se 0.6178 0.4116 0.0900
64 Se 0.6178 0.7062 0.5279
65 Se 0.6784 0.0884 0.7062
66 Se 0.6784 0.0900 0.9721
67 Se 0.7062 0.5279 0.6178
68 Se 0.7062 0.6784 0.0884
69 Se 0.7938 0.4116 0.8216
70 Se 0.7938 0.8822 0.9721
71 Se 0.8216 0.5279 0.4100
72 Se 0.8216 0.7938 0.4116
73 Se 0.8822 0.4100 0.0884
74 Se 0.8822 0.9721 0.7938
75 Se 0.9100 0.0279 0.3216
76 Se 0.9100 0.3822 0.5884
77 Se 0.9116 0.1178 0.5900
78 Se 0.9116 0.2938 0.3216
79 Se 0.9721 0.6784 0.0900
80 Se 0.9721 0.7938 0.8822